Entry 1:
The following is a PBE-GGA calculation of a relaxed Na2CoSbPd crystal, from the Alexandria database.

It has space group P4/mmm (No. 123), with a = 5.784 Å, b = 5.784 Å, c = 4.954 Å, α = 90.00°, β = 90.00° and γ = 90.00°. The distinct sites, in fractional coordinates, are Na at (0.000, 0.500, 0.000), Co at (0.000, 0.000, 0.500), Sb at (0.500, 0.500, 0.000) and Pd at (0.500, 0.500, 0.500).

Entry 2:
The following is a PBE-GGA calculation of a relaxed Cu4I3Cl2 crystal, from the Alexandria database.

It has space group C2/m (No. 12), with a = 12.195 Å, b = 3.688 Å, c = 11.111 Å, α = 90.00°, β = 107.68° and γ = 90.00°. The distinct sites, in fractional coordinates, are Cu at (0.050, 0.000, 0.263), Cu at (0.158, 0.500, 0.654), I at (0.000, 0.000, 0.500), I at (0.095, 0.500, 0.860) and Cl at (0.202, 0.500, 0.323).

These records have E_tot values of -0.22325; -0.21266 Ry per atom, in the order they appear.
These records have energy relative to the elements, uncorrected values of 774; -146 meV per atom, in the order they appear.